Density functional theory data (GGA-PBEsol) for a geometry-optimized LiInAg structure.

Cell lengths 2.9062, 4.6048, 4.6048 Å; angles 120.00, 90.00, 90.00 degrees
Last column: nearest neighbours and their distance in Å.
Sites, in units of the cell vectors:
Li (0.2931, 0.6667, 0.3333)  3 Ag 2.76, 3 In 2.88, 2 Li 2.91
In (0.6728, 0.3333, 0.6667)  3 Ag 2.86, 3 Li 2.88, 2 In 2.91
Ag (0.0341, 0.0000, 0.0000)  3 Li 2.76, 3 In 2.86, 2 Ag 2.91

Formation energy from the elements: -0.65 eV/f.u.
Calculated volume: 17.79 Å³/atom
Uncorrected energy: -2.9712 eV/atom
Space group: No. 156